Below is a relaxed structure of BaAgTe2N, with properties calculated at the PBE level.

Output
E	-3.71	eV per atom
formation energy (no corrections)	0.16	eV per atom

```
data_BaAgTe2N
_chemical_formula_sum 'Ba1 Ag1 Te2 N1'
_space_group_name_H-M_alt 'P 4/m m m'
_space_group_IT_number 123
_space_group_name_Hall '-P 4 2'
_cell_length_a 5.828
_cell_length_b 5.828
_cell_length_c 4.239
_cell_angle_alpha 90.00
_cell_angle_beta 90.00
_cell_angle_gamma 90.00
loop_
_atom_site_label
_atom_site_fract_x
_atom_site_fract_y
_atom_site_fract_z
_atom_site_occupancy
Ba1 0.000 0.000 0.000 1
Ag1 0.500 0.500 0.500 1
Te1 0.000 0.500 0.500 1
N1 0.500 0.500 0.000 1
```


Below is a relaxed structure of RbCr2BiP, with properties calculated at the PBE level.

Output
energy of formation	2.94	eV per atom
E	-2.96	eV per atom

```
data_RbCr2BiP
_chemical_formula_sum 'Rb1 Cr2 Bi1 P1'
_space_group_name_H-M_alt 'P 4/m m m'
_space_group_IT_number 123
_space_group_name_Hall '-P 4 2'
_cell_length_a 4.506
_cell_length_b 4.506
_cell_length_c 6.166
_cell_angle_alpha 90.00
_cell_angle_beta 90.00
_cell_angle_gamma 90.00
loop_
_atom_site_label
_atom_site_fract_x
_atom_site_fract_y
_atom_site_fract_z
_atom_site_occupancy
Rb1 0.000 0.000 0.000 1
Cr1 0.000 0.500 0.000 1
Bi1 0.000 0.000 0.500 1
P1 0.500 0.500 0.500 1
```


Below is a relaxed structure of KSbPt2, with properties calculated at the PBE level.

Output
E	-4.27	eV per atom
formation energy (no corrections)	0.06	eV per atom

```
data_KSbPt2
_chemical_formula_sum 'K4 Sb4 Pt8'
_space_group_name_H-M_alt 'I -4 2 d'
_space_group_IT_number 122
_space_group_name_Hall 'I -4 2bw'
_cell_length_a 7.954
_cell_length_b 7.954
_cell_length_c 7.002
_cell_angle_alpha 90.00
_cell_angle_beta 90.00
_cell_angle_gamma 90.00
loop_
_atom_site_label
_atom_site_fract_x
_atom_site_fract_y
_atom_site_fract_z
_atom_site_occupancy
K1 0.000 0.000 0.000 1
Sb1 0.000 0.000 0.500 1
Pt1 0.166 0.250 0.625 1
```


Below is a relaxed structure of Li2BiRu, with properties calculated at the PBE level.

Output
energy of formation	0.24	eV per atom
E	-4.01	eV per atom

```
data_Li2BiRu
_chemical_formula_sum 'Li8 Bi4 Ru4'
_space_group_name_H-M_alt 'I -4 2 d'
_space_group_IT_number 122
_space_group_name_Hall 'I -4 2bw'
_cell_length_a 3.902
_cell_length_b 3.902
_cell_length_c 19.717
_cell_angle_alpha 90.00
_cell_angle_beta 90.00
_cell_angle_gamma 90.00
loop_
_atom_site_label
_atom_site_fract_x
_atom_site_fract_y
_atom_site_fract_z
_atom_site_occupancy
Li1 0.222 0.250 0.125 1
Bi1 0.000 0.000 0.500 1
Ru1 0.000 0.000 0.000 1
```